No. 1
The following is a PBE-GGA calculation of a relaxed BaCa2MnCl8 crystal, from Alexandria. Values from VASP.

Computed properties:
The calculation puts the raw total energy at -4.546 eV per atom. For the uncorrected formation energy, the calculation gives -2.057 eV/atom. The symmetry is P2/m. The size of the total moment comes out at 5.00 μB/cell.

```
&SYSTEM
  ibrav = 0, nat = 12, ntyp = 4
/
ATOMIC_SPECIES
Ba 137.33 Ba.upf
Ca 40.08 Ca.upf
Mn 54.94 Mn.upf
Cl 35.45 Cl.upf
CELL_PARAMETERS angstrom
-0.9872 -1.9131 -6.1814
6.2955 -0.1273 -1.1170
0.2750 -8.1560 2.4806
ATOMIC_POSITIONS angstrom
Ba 0.1375 -4.0780 1.2403
Ca 2.8649 -7.2706 -1.7482
Ca 2.7183 -2.9258 -3.0696
Mn 0.0000 0.0000 0.0000
Cl 4.7814 -2.1309 -1.3969
Cl 3.9351 -1.4023 -5.0476
Cl 0.6423 -3.3247 -4.8631
Cl 0.8019 -8.0655 -3.4209
Cl 1.6482 -8.7940 0.2299
Cl 4.9410 -6.8717 0.0454
Cl 3.9868 -5.3892 -3.4983
Cl 1.5965 -4.8072 -1.3194
```

No. 2
The following is a PBE-GGA calculation of a relaxed ZnP2H8O10 crystal, from Alexandria. Values from VASP.

Computed properties:
The calculation puts the raw total energy at -5.703 eV per atom. The symmetry is P2_1/c. The size of the total moment comes out at 0.00 μB/cell.

```
&SYSTEM
  ibrav = 0, nat = 42, ntyp = 4
/
ATOMIC_SPECIES
Zn 65.41 Zn.upf
P 30.97 P.upf
H 1.01 H.upf
O 16.00 O.upf
CELL_PARAMETERS angstrom
10.0540 0.0000 0.0000
0.0000 5.3503 0.0539
0.0000 4.7985 7.2531
ATOMIC_POSITIONS angstrom
Zn 0.0000 0.0000 0.0000
Zn 5.0270 2.3992 3.6265
P 2.1796 6.4742 2.4874
P 2.8474 8.8735 6.1140
P 7.8744 3.6745 4.8196
P 7.2066 1.2753 1.1930
H 0.7586 7.1835 6.0811
H 4.2684 4.7843 2.4546
H 9.2954 2.9653 1.2259
H 5.7856 5.3645 4.8524
H 9.5431 6.6298 5.3412
H 5.5379 4.2306 1.7147
H 0.5109 3.5190 1.9658
H 4.5161 5.9182 5.5923
H 1.0856 5.8446 4.3532
H 3.9414 3.4453 0.7266
H 8.9684 4.3042 2.9538
H 6.1126 6.7034 6.5804
H 2.2635 2.9976 3.5456
H 2.7635 5.3968 7.1721
H 7.7905 7.1512 3.7614
H 7.2905 4.7520 0.1349
O 1.7139 0.7726 1.0197
O 3.3131 3.1718 4.6462
O 8.3401 9.3761 6.2873
O 6.7409 6.9769 2.6608
O 3.6944 6.3631 2.6825
O 1.3326 8.7623 6.3091
O 6.3596 3.7857 4.6245
O 8.7214 1.3864 0.9979
O 1.4119 5.5038 3.4600
O 3.6151 7.9030 7.0865
O 8.6421 4.6450 3.8470
O 6.4389 2.2457 0.2205
O 1.7250 2.6158 2.7523
O 3.3020 5.0150 6.3788
O 8.3290 7.5330 4.5547
O 6.7520 5.1337 0.9282
O 0.3453 6.3221 5.7547
O 4.6817 3.9229 2.1281
O 9.7087 3.8267 1.5523
O 5.3723 6.2259 5.1789
```

No. 3
The following is a PBE-GGA calculation of a relaxed NaGa3As crystal, from Alexandria. Values from VASP.

Computed properties:
The calculation puts the raw total energy at -2.750 eV per atom. The symmetry is Pm-3m. The size of the total moment comes out at 0.00 μB/cell. The excess energy over the best structure of this formula in the dataset is 0.000 eV/atom. The value obtained for the formation energy is 0.26 eV per atom.

```
&SYSTEM
  ibrav = 0, nat = 5, ntyp = 3
/
ATOMIC_SPECIES
Na 22.99 Na.upf
As 74.92 As.upf
Ga 69.72 Ga.upf
CELL_PARAMETERS angstrom
-2.9107 -3.7188 1.9700
-1.3587 -1.4366 -4.7194
3.9830 -3.2076 -0.1703
ATOMIC_POSITIONS angstrom
Na -0.1432 -4.1815 -1.4598
As 0.0000 0.0000 0.0000
Ga -0.6793 -0.7183 -2.3597
Ga 1.9915 -1.6038 -0.0851
Ga -1.4553 -1.8594 0.9850
```

No. 4
The following is a PBE-GGA calculation of a relaxed Cs2TbNp2Se6 crystal, from Alexandria. Values from VASP.

Computed properties:
The calculation puts the raw total energy at -6.243 eV per atom. For the uncorrected formation energy, the calculation gives -1.414 eV/atom. The symmetry is C2/m. The size of the total moment comes out at 7.00 μB/cell.

```
&SYSTEM
  ibrav = 0, nat = 11, ntyp = 4
/
ATOMIC_SPECIES
Cs 132.91 Cs.upf
Tb 158.93 Tb.upf
Np 237.00 Np.upf
Se 78.96 Se.upf
CELL_PARAMETERS angstrom
-4.5582 5.4912 -1.5244
-2.0995 -5.3518 4.4949
5.2604 4.3571 5.7002
ATOMIC_POSITIONS angstrom
Cs -4.1515 3.6975 -0.5286
Cs -2.5063 -3.5581 3.4992
Tb 2.6302 2.1786 2.8501
Np -0.2897 0.4445 5.3367
Np -1.1077 4.0520 3.3340
Se -1.2309 3.0692 6.0315
Se 2.4809 1.1718 5.5730
Se -0.1665 1.4273 2.6392
Se 1.6522 4.8266 3.5441
Se -3.8784 3.3247 3.0977
Se -3.0496 -0.3301 5.1266
```